Record 1
Compound: SmThZrN3
Source: the Alexandria database
Functional: PBE
Structure: optimized geometry

Values from the calculation:
Crystal system ... monoclinic

a = 7.2306 Å, b = 3.4618 Å, c = 8.4600 Å
α = 90.00°, β = 96.93°, γ = 90.00°
With the nearest neighbours (Å) after each atom.
Fractional positions:
Sm  0.1078  0.2500  0.3477  7 N 2.55-2.77
Sm  0.8922  0.7500  0.6523  7 N 2.55-2.77
Th  0.4089  0.7500  0.6654  5 N 2.26-2.50
Th  0.5911  0.2500  0.3346  5 N 2.26-2.50
Zr  0.1651  0.2500  0.9502  3 N 2.13-2.15
Zr  0.8349  0.7500  0.0498  3 N 2.13-2.15
N  0.1308  0.7500  0.0954  3 Zr 2.13-2.15
N  0.1599  0.2500  0.6652  1 Zr 2.41, 2 Th 2.50, 3 Sm 2.59-2.67
N  0.3671  0.7500  0.3968  3 Th 2.26-2.47
N  0.6329  0.2500  0.6032  3 Th 2.26-2.47
N  0.8401  0.7500  0.3348  1 Zr 2.41, 2 Th 2.50, 3 Sm 2.59-2.67
N  0.8692  0.2500  0.9046  3 Zr 2.13-2.15



Record 2
Compound: Sm2ThZrN4
Source: the Alexandria database
Functional: PBE
Structure: optimized geometry

Values from the calculation:
Crystal system ... monoclinic

a = 6.0926 Å, b = 3.5202 Å, c = 6.1042 Å
α = 90.00°, β = 109.11°, γ = 90.00°
With the nearest neighbours (Å) after each atom.
Fractional positions:
Sm  0.0000  0.0000  0.0000  6 N 2.51
Sm  0.0000  0.5000  0.5000  6 N 2.60-2.63
Th  0.5000  0.0000  0.5000  6 N 2.47-2.48
Zr  0.5000  0.5000  0.0000  6 N 2.34-2.39
N  0.2673  0.5000  0.2385  1 Zr 2.34, 2 Th 2.48, 2 Sm 2.51
N  0.2733  0.0000  0.7694  2 Zr 2.39, 1 Th 2.47, 3 Sm 2.51-2.60
N  0.7267  0.0000  0.2306  2 Zr 2.39, 1 Th 2.47, 3 Sm 2.51-2.60
N  0.7327  0.5000  0.7615  1 Zr 2.34, 2 Th 2.48, 2 Sm 2.51



Record 3
Compound: SmTi2N
Source: the Alexandria database
Functional: PBE
Structure: optimized geometry

Values from the calculation:
Crystal system ... trigonal

a = 3.1076 Å, b = 3.1076 Å, c = 24.9938 Å
α = 90.00°, β = 90.00°, γ = 120.00°
With the nearest neighbours (Å) after each atom.
Fractional positions:
Sm  0.0000  0.0000  0.0000  2 Ti 3.08, 6 Sm 3.11
Sm  0.3333  0.6667  0.6667  2 Ti 3.08, 6 Sm 3.11
Sm  0.6667  0.3333  0.3333  2 Ti 3.08, 6 Sm 3.11
Ti  0.0000  0.0000  0.1234  3 N 2.09
Ti  0.0000  0.0000  0.8766  3 N 2.09
Ti  0.3333  0.6667  0.5433  3 N 2.09
Ti  0.3333  0.6667  0.7901  3 N 2.09
Ti  0.6667  0.3333  0.2099  3 N 2.09
Ti  0.6667  0.3333  0.4567  3 N 2.09
N  0.0000  0.0000  0.5000  6 Ti 2.09
N  0.3333  0.6667  0.1667  6 Ti 2.09
N  0.6667  0.3333  0.8333  6 Ti 2.09



Record 4
Compound: Sm2TiN
Source: the Alexandria database
Functional: PBE
Structure: optimized geometry

Values from the calculation:
Crystal system ... trigonal

a = 3.4317 Å, b = 3.4317 Å, c = 26.9362 Å
α = 90.00°, β = 90.00°, γ = 120.00°
With the nearest neighbours (Å) after each atom.
Fractional positions:
Sm  0.0000  0.0000  0.1142  3 N 2.43
Sm  0.0000  0.0000  0.8858  3 N 2.43
Sm  0.3333  0.6667  0.5524  3 N 2.43
Sm  0.3333  0.6667  0.7809  3 N 2.43
Sm  0.6667  0.3333  0.2191  3 N 2.43
Sm  0.6667  0.3333  0.4476  3 N 2.43
Ti  0.0000  0.0000  0.0000  2 Sm 3.08, 6 Ti 3.43
Ti  0.3333  0.6667  0.6667  2 Sm 3.08, 6 Ti 3.43
Ti  0.6667  0.3333  0.3333  2 Sm 3.08, 6 Ti 3.43
N  0.0000  0.0000  0.5000  6 Sm 2.43
N  0.3333  0.6667  0.1667  6 Sm 2.43
N  0.6667  0.3333  0.8333  6 Sm 2.43



Record 5
Compound: Sm3Ti5N12
Source: the Alexandria database
Functional: PBE
Structure: optimized geometry

Values from the calculation:
Crystal system ... cubic

a = 11.1370 Å, b = 11.1370 Å, c = 11.1370 Å
α = 109.47°, β = 109.47°, γ = 109.47°
With the nearest neighbours (Å) after each atom.
Fractional positions:
Sm  0.1250  0.2500  0.3750  8 N 2.50-2.57
Sm  0.1250  0.3750  0.7500  8 N 2.50-2.57
Sm  0.2500  0.3750  0.1250  8 N 2.50-2.57
Sm  0.2500  0.8750  0.6250  8 N 2.50-2.57
Sm  0.3750  0.1250  0.2500  8 N 2.50-2.57
Sm  0.3750  0.7500  0.1250  8 N 2.50-2.57
Sm  0.6250  0.2500  0.8750  8 N 2.50-2.57
Sm  0.6250  0.8750  0.7500  8 N 2.50-2.57
Sm  0.7500  0.1250  0.3750  8 N 2.50-2.57
Sm  0.7500  0.6250  0.8750  8 N 2.50-2.57
Sm  0.8750  0.6250  0.2500  8 N 2.50-2.57
Sm  0.8750  0.7500  0.6250  8 N 2.50-2.57
Ti  0.0000  0.0000  0.0000  6 N 2.07
Ti  0.0000  0.0000  0.5000  6 N 2.07
Ti  0.0000  0.5000  0.0000  6 N 2.07
Ti  0.0000  0.5000  0.5000  6 N 2.07
Ti  0.1250  0.7500  0.8750  4 N 1.91
Ti  0.1250  0.8750  0.2500  4 N 1.91
Ti  0.2500  0.1250  0.8750  4 N 1.91
Ti  0.2500  0.6250  0.3750  4 N 1.91
Ti  0.3750  0.2500  0.6250  4 N 1.91
Ti  0.3750  0.6250  0.7500  4 N 1.91
Ti  0.5000  0.0000  0.0000  6 N 2.07
Ti  0.5000  0.0000  0.5000  6 N 2.07
Ti  0.5000  0.5000  0.0000  6 N 2.07
Ti  0.5000  0.5000  0.5000  6 N 2.07
Ti  0.6250  0.3750  0.2500  4 N 1.91
Ti  0.6250  0.7500  0.3750  4 N 1.91
Ti  0.7500  0.3750  0.6250  4 N 1.91
Ti  0.7500  0.8750  0.1250  4 N 1.91
Ti  0.8750  0.1250  0.7500  4 N 1.91
Ti  0.8750  0.2500  0.1250  4 N 1.91
N  0.0228  0.2021  0.1168  2 Ti 1.91-2.07
N  0.0228  0.3207  0.9060  2 Ti 1.91-2.07
N  0.0853  0.7021  0.6793  2 Ti 1.91-2.07
N  0.0853  0.8832  0.4060  2 Ti 1.91-2.07
N  0.0940  0.6168  0.4147  2 Ti 1.91-2.07
N  0.0940  0.9772  0.6793  2 Ti 1.91-2.07
N  0.1168  0.0228  0.2021  2 Ti 1.91-2.07
N  0.1168  0.5940  0.9147  2 Ti 1.91-2.07
N  0.1793  0.2021  0.5853  2 Ti 1.91-2.07
N  0.1793  0.4772  0.5940  2 Ti 1.91-2.07
N  0.2021  0.1168  0.0228  2 Ti 1.91-2.07
N  0.2021  0.5853  0.1793  2 Ti 1.91-2.07
N  0.2979  0.3207  0.9147  2 Ti 1.91-2.07
N  0.2979  0.4772  0.3832  2 Ti 1.91-2.07
N  0.3207  0.9060  0.0228  2 Ti 1.91-2.07
N  0.3207  0.9147  0.2979  2 Ti 1.91-2.07
N  0.3832  0.2979  0.4772  2 Ti 1.91-2.07
N  0.3832  0.5853  0.9060  2 Ti 1.91-2.07
N  0.4060  0.0853  0.8832  2 Ti 1.91-2.07
N  0.4060  0.8207  0.5228  2 Ti 1.91-2.07
N  0.4147  0.0940  0.6168  2 Ti 1.91-2.07
N  0.4147  0.8207  0.7979  2 Ti 1.91-2.07
N  0.4772  0.3832  0.2979  2 Ti 1.91-2.07
N  0.4772  0.5940  0.1793  2 Ti 1.91-2.07
N  0.5228  0.4060  0.8207  2 Ti 1.91-2.07
N  0.5228  0.6168  0.7021  2 Ti 1.91-2.07
N  0.5853  0.1793  0.2021  2 Ti 1.91-2.07
N  0.5853  0.9060  0.3832  2 Ti 1.91-2.07
N  0.5940  0.1793  0.4772  2 Ti 1.91-2.07
N  0.5940  0.9147  0.1168  2 Ti 1.91-2.07
N  0.6168  0.4147  0.0940  2 Ti 1.91-2.07
N  0.6168  0.7021  0.5228  2 Ti 1.91-2.07
N  0.6793  0.0853  0.7021  2 Ti 1.91-2.07
N  0.6793  0.0940  0.9772  2 Ti 1.91-2.07
N  0.7021  0.5228  0.6168  2 Ti 1.91-2.07
N  0.7021  0.6793  0.0853  2 Ti 1.91-2.07
N  0.7979  0.4147  0.8207  2 Ti 1.91-2.07
N  0.7979  0.8832  0.9772  2 Ti 1.91-2.07
N  0.8207  0.5228  0.4060  2 Ti 1.91-2.07
N  0.8207  0.7979  0.4147  2 Ti 1.91-2.07
N  0.8832  0.4060  0.0853  2 Ti 1.91-2.07
N  0.8832  0.9772  0.7979  2 Ti 1.91-2.07
N  0.9060  0.0228  0.3207  2 Ti 1.91-2.07
N  0.9060  0.3832  0.5853  2 Ti 1.91-2.07
N  0.9147  0.1168  0.5940  2 Ti 1.91-2.07
N  0.9147  0.2979  0.3207  2 Ti 1.91-2.07
N  0.9772  0.6793  0.0940  2 Ti 1.91-2.07
N  0.9772  0.7979  0.8832  2 Ti 1.91-2.07



Record 6
Compound: SmTi4N6
Source: the Alexandria database
Functional: PBE
Structure: optimized geometry

Values from the calculation:
Crystal system ... orthorhombic

a = 5.2419 Å, b = 5.2419 Å, c = 15.5570 Å
α = 90.00°, β = 90.00°, γ = 146.11°
With the nearest neighbours (Å) after each atom.
Fractional positions:
Sm  0.1526  0.8474  0.7500  6 N 2.39-2.45
Sm  0.8474  0.1526  0.2500  6 N 2.39-2.45
Ti  0.1060  0.8940  0.1319  5 N 1.93-2.12
Ti  0.1060  0.8940  0.3681  5 N 1.93-2.12
Ti  0.3703  0.6297  0.0481  3 N 1.91-2.13
Ti  0.3703  0.6297  0.4519  3 N 1.91-2.13
Ti  0.6297  0.3703  0.5481  3 N 1.91-2.13
Ti  0.6297  0.3703  0.9519  3 N 1.91-2.13
Ti  0.8940  0.1060  0.6319  5 N 1.93-2.12
Ti  0.8940  0.1060  0.8681  5 N 1.93-2.12
N  0.0000  0.0000  0.0000  6 Ti 2.14-2.31
N  0.0000  0.0000  0.5000  6 Ti 2.14-2.31
N  0.1635  0.8365  0.2500  2 Ti 1.93
N  0.2672  0.7328  0.5841  5 Ti 2.12-2.30
N  0.2672  0.7328  0.9159  5 Ti 2.12-2.30
N  0.4668  0.5332  0.1536  3 Ti 1.91-2.10
N  0.4668  0.5332  0.3464  3 Ti 1.91-2.10
N  0.5332  0.4668  0.6536  3 Ti 1.91-2.10
N  0.5332  0.4668  0.8464  3 Ti 1.91-2.10
N  0.7328  0.2672  0.0841  5 Ti 2.12-2.30
N  0.7328  0.2672  0.4159  5 Ti 2.12-2.30
N  0.8365  0.1635  0.7500  2 Ti 1.93



Record 7
Compound: SmTmTiN3
Source: the Alexandria database
Functional: PBE
Structure: optimized geometry

Values from the calculation:
Crystal system ... monoclinic

a = 6.6043 Å, b = 3.2991 Å, c = 9.1201 Å
α = 90.00°, β = 93.65°, γ = 90.00°
With the nearest neighbours (Å) after each atom.
Fractional positions:
Sm  0.1780  0.2500  0.2336  6 N 2.42-2.65
Sm  0.8220  0.7500  0.7664  6 N 2.42-2.65
Tm  0.3491  0.7500  0.8814  5 N 2.23-2.38
Tm  0.6509  0.2500  0.1186  5 N 2.23-2.38
Ti  0.1376  0.2500  0.5771  4 N 1.95-2.10
Ti  0.8624  0.7500  0.4229  4 N 1.95-2.10
N  0.1278  0.2500  0.7900  1 Ti 1.95
N  0.1790  0.7500  0.4609  3 Ti 1.99-2.10
N  0.3912  0.7500  0.1261  3 Tm 2.23-2.38, 2 Sm 2.42
N  0.6088  0.2500  0.8739  3 Tm 2.23-2.38, 2 Sm 2.42
N  0.8210  0.2500  0.5391  3 Ti 1.99-2.10
N  0.8722  0.7500  0.2100  1 Ti 1.95



Record 8
Compound: SmTm2TiN4
Source: the Alexandria database
Functional: PBE
Structure: optimized geometry

Values from the calculation:
Crystal system ... orthorhombic

a = 6.0528 Å, b = 6.0528 Å, c = 11.7419 Å
α = 90.00°, β = 90.00°, γ = 147.68°
With the nearest neighbours (Å) after each atom.
Fractional positions:
Sm  0.0994  0.9006  0.7500  6 N 2.54-2.77
Sm  0.9006  0.0994  0.2500  6 N 2.54-2.77
Tm  0.3706  0.6294  0.5388  5 N 2.27-2.48
Tm  0.3706  0.6294  0.9612  5 N 2.27-2.48
Tm  0.6294  0.3706  0.0388  5 N 2.27-2.48
Tm  0.6294  0.3706  0.4612  5 N 2.27-2.48
Ti  0.1635  0.8365  0.2500  4 N 1.89-2.04
Ti  0.8365  0.1635  0.7500  4 N 1.89-2.04
N  0.0000  0.0000  0.0000  4 Tm 2.30
N  0.0000  0.0000  0.5000  4 Tm 2.30
N  0.2620  0.7380  0.1222  1 Ti 1.89
N  0.2620  0.7380  0.3778  1 Ti 1.89
N  0.4358  0.5642  0.7500  2 Ti 2.04
N  0.5642  0.4358  0.2500  2 Ti 2.04
N  0.7380  0.2620  0.6222  1 Ti 1.89
N  0.7380  0.2620  0.8778  1 Ti 1.89



Record 9
Compound: Sm2TiVN5
Source: the Alexandria database
Functional: PBE
Structure: optimized geometry

Values from the calculation:
Crystal system ... orthorhombic

a = 7.0982 Å, b = 7.0982 Å, c = 10.1629 Å
α = 90.00°, β = 90.00°, γ = 153.22°
With the nearest neighbours (Å) after each atom.
Fractional positions:
Sm  0.1149  0.8851  0.5000  6 N 2.44-2.63
Sm  0.1353  0.8647  0.1445  7 N 2.46-2.64
Sm  0.8647  0.1353  0.6445  7 N 2.46-2.64
Sm  0.8851  0.1149  0.0000  6 N 2.44-2.63
Ti  0.2112  0.7888  0.8549  3 N 1.87-2.07
Ti  0.7888  0.2112  0.3549  3 N 1.87-2.07
V  0.4459  0.5541  0.2613  4 N 1.76-1.86
V  0.5541  0.4459  0.7613  4 N 1.76-1.86
N  0.0371  0.9629  0.8445  2 V 1.86
N  0.2927  0.7073  0.4789  2 Ti 2.07
N  0.3209  0.6791  0.2067  1 V 1.81
N  0.3454  0.6546  0.8306  1 Ti 1.87
N  0.4948  0.5052  0.6077  1 V 1.76
N  0.5052  0.4948  0.1077  1 V 1.76
N  0.6546  0.3454  0.3306  1 Ti 1.87
N  0.6791  0.3209  0.7067  1 V 1.81
N  0.7073  0.2927  0.9789  2 Ti 2.07
N  0.9629  0.0371  0.3445  2 V 1.86



Record 10
Compound: Sm2TiWN5
Source: the Alexandria database
Functional: PBE
Structure: optimized geometry

Values from the calculation:
Crystal system ... orthorhombic

a = 6.8280 Å, b = 6.8280 Å, c = 10.4200 Å
α = 90.00°, β = 90.00°, γ = 151.65°
With the nearest neighbours (Å) after each atom.
Fractional positions:
Sm  0.1089  0.8911  0.5000  6 N 2.31-2.56
Sm  0.1498  0.8502  0.1120  7 N 2.45-2.73
Sm  0.8502  0.1498  0.6120  7 N 2.45-2.73
Sm  0.8911  0.1089  0.0000  6 N 2.31-2.56
Ti  0.2234  0.7766  0.8337  3 N 1.95-2.14
Ti  0.7766  0.2234  0.3337  3 N 1.95-2.14
W  0.4652  0.5348  0.2706  4 N 1.88-2.04
W  0.5348  0.4652  0.7706  4 N 1.88-2.04
N  0.0514  0.9486  0.8622  2 W 1.94
N  0.2811  0.7189  0.4625  2 Ti 2.14, 1 Sm 2.31
N  0.3212  0.6788  0.2003  1 W 2.04, 2 Ti 2.25
N  0.3701  0.6299  0.8170  1 Ti 1.95
N  0.4897  0.5103  0.5994  1 W 1.88
N  0.5103  0.4897  0.0994  1 W 1.88
N  0.6299  0.3701  0.3170  1 Ti 1.95
N  0.6788  0.3212  0.7003  1 W 2.04, 2 Ti 2.25
N  0.7189  0.2811  0.9625  2 Ti 2.14, 1 Sm 2.31
N  0.9486  0.0514  0.3622  2 W 1.94



Record 11
Compound: SmY2TiN4
Source: the Alexandria database
Functional: PBE
Structure: optimized geometry

Values from the calculation:
Crystal system ... orthorhombic

a = 6.1115 Å, b = 6.1115 Å, c = 11.9243 Å
α = 90.00°, β = 90.00°, γ = 147.64°
With the nearest neighbours (Å) after each atom.
Fractional positions:
Sm  0.1000  0.9000  0.7500  6 N 2.58-2.77
Sm  0.9000  0.1000  0.2500  6 N 2.58-2.77
Y  0.3702  0.6298  0.5392  5 N 2.33-2.53
Y  0.3702  0.6298  0.9608  5 N 2.33-2.53
Y  0.6298  0.3702  0.0392  5 N 2.33-2.53
Y  0.6298  0.3702  0.4608  5 N 2.33-2.53
Ti  0.1636  0.8364  0.2500  4 N 1.89-2.06
Ti  0.8364  0.1636  0.7500  4 N 1.89-2.06
N  0.0000  0.0000  0.0000  4 Y 2.33
N  0.0000  0.0000  0.5000  4 Y 2.33
N  0.2632  0.7368  0.1256  1 Ti 1.89
N  0.2632  0.7368  0.3744  1 Ti 1.89
N  0.4350  0.5650  0.7500  2 Ti 2.06
N  0.5650  0.4350  0.2500  2 Ti 2.06
N  0.7368  0.2632  0.6256  1 Ti 1.89
N  0.7368  0.2632  0.8744  1 Ti 1.89



Record 12
Compound: SmZrTiN3
Source: the Alexandria database
Functional: PBE
Structure: optimized geometry

Values from the calculation:
Crystal system ... monoclinic

a = 6.8291 Å, b = 3.4670 Å, c = 8.6592 Å
α = 90.00°, β = 106.57°, γ = 90.00°
With the nearest neighbours (Å) after each atom.
Fractional positions:
Sm  0.1886  0.2500  0.1456  5 N 2.38-2.58
Sm  0.8114  0.7500  0.8544  5 N 2.38-2.58
Zr  0.3403  0.7500  0.8646  6 N 2.25-2.41
Zr  0.6597  0.2500  0.1354  6 N 2.25-2.41
Ti  0.0664  0.2500  0.6215  4 N 1.94-2.04
Ti  0.9336  0.7500  0.3785  4 N 1.94-2.04
N  0.0926  0.2500  0.8587  1 Ti 2.01
N  0.1717  0.7500  0.5841  3 Ti 1.94-2.04
N  0.4353  0.7500  0.1353  3 Zr 2.25-2.31, 2 Sm 2.44
N  0.5647  0.2500  0.8647  3 Zr 2.25-2.31, 2 Sm 2.44
N  0.8283  0.2500  0.4159  3 Ti 1.94-2.04
N  0.9074  0.7500  0.1413  1 Ti 2.01



| no. | formation energy without anion corrections (kJ/mol of atoms) | total magnetization (μB/cell) |
| --- | --- | --- |
| 1 | -120.1 | 0.00 |
| 2 | -149.1 | 0.00 |
| 3 | -62.8 | 0.00 |
| 4 | -28.4 | 5.14 |
| 5 | -71.7 | 26.10 |
| 6 | -148.0 | 0.00 |
| 7 | -131.1 | 0.00 |
| 8 | -147.0 | 0.00 |
| 9 | -127.2 | 0.00 |
| 10 | -113.0 | 0.00 |
| 11 | -140.0 | 0.00 |
| 12 | -126.2 | 0.00 |